1.
## Cd2H (PBE-GGA)

Data for a relaxed Cd2H crystal.

The value obtained for the calculated volume is 18.50 Å³/atom.

abc: 3.071 7.621 6.985
angles: 134.90 90.00 101.62
Fractional positions:
Cd1 0.627 0.254 0.300
Cd2 0.373 0.746 0.700
Cd3 0.095 0.190 0.787
Cd4 0.905 0.810 0.213
H1 0.696 0.393 0.050
H2 0.304 0.607 0.950

2.
## CdH3 (PBE-GGA)

Data for a relaxed CdH3 crystal.

The value obtained for the calculated volume is 10.59 Å³/atom.

abc: 3.074 3.310 4.160
angles: 90.00 90.00 90.00
Fractional positions:
H1 0.000 0.500 0.284
H2 0.500 0.000 0.750
H3 0.500 0.500 0.289
Cd1 0.000 0.000 0.010

3.
## Hf3CdH (PBE-GGA)

Data for a relaxed Hf3CdH crystal.

The value obtained for the calculated volume is 18.22 Å³/atom.

abc: 4.903 4.903 8.752
angles: 90.00 90.00 120.00
Fractional positions:
Cd1 0.333 0.667 0.750
Cd2 0.667 0.333 0.250
Hf1 0.667 0.333 0.916
Hf2 0.667 0.333 0.584
Hf3 0.000 0.000 0.750
Hf4 0.333 0.667 0.084
Hf5 0.000 0.000 0.250
Hf6 0.333 0.667 0.416
H1 0.000 0.000 0.000
H2 0.000 0.000 0.500

4.
## Hf3CdH (PBE-GGA)

Data for a relaxed Hf3CdH crystal.

The value obtained for the calculated volume is 23.81 Å³/atom.

abc: 8.297 8.297 5.321
angles: 90.00 90.00 139.45
Fractional positions:
H1 0.419 0.581 0.250
H2 0.581 0.419 0.750
Cd1 0.167 0.833 0.250
Cd2 0.833 0.167 0.750
Hf1 0.077 0.417 0.250
Hf2 0.583 0.923 0.250
Hf3 0.923 0.583 0.750
Hf4 0.000 0.000 0.000
Hf5 0.417 0.077 0.750
Hf6 0.000 0.000 0.500

5.
## Hf3CdH (PBE-GGA)

Data for a relaxed Hf3CdH crystal.

The value obtained for the calculated volume is 18.19 Å³/atom.

abc: 9.280 4.576 4.576
angles: 89.32 104.46 104.46
Fractional positions:
Hf1 0.485 0.174 0.578
Hf2 0.741 0.794 0.697
Hf3 0.997 0.413 0.816
Hf4 0.485 0.657 0.061
Hf5 0.741 0.294 0.197
Hf6 0.997 0.930 0.333
Cd1 0.241 0.043 0.947
Cd2 0.241 0.544 0.447
H1 0.876 0.611 0.014
H2 0.606 0.976 0.379

6.
## Hf3CdH (PBE-GGA)

Data for a relaxed Hf3CdH crystal.

The value obtained for the calculated volume is 18.14 Å³/atom.

abc: 8.144 4.719 4.720
angles: 89.66 90.00 90.00
Fractional positions:
Cd1 0.241 0.291 0.099
Cd2 0.241 0.796 0.595
Hf1 0.999 0.788 0.091
Hf2 0.741 0.775 0.616
Hf3 0.999 0.299 0.602
Hf4 0.483 0.299 0.602
Hf5 0.741 0.312 0.078
Hf6 0.483 0.788 0.091
H1 0.875 0.044 0.347
H2 0.607 0.044 0.347

7.
## Hf2CdH (PBE-GGA)

Data for a relaxed Hf2CdH crystal.

The value obtained for the calculated volume is 16.95 Å³/atom.

abc: 3.210 3.210 7.821
angles: 78.16 78.16 60.00
Fractional positions:
H1 0.000 0.000 0.000
Hf1 0.277 0.277 0.168
Hf2 0.723 0.723 0.832
Cd1 0.500 0.500 0.500

8.
## Hf3CdH (PBE-GGA)

Data for a relaxed Hf3CdH crystal.

The value obtained for the calculated volume is 20.43 Å³/atom.

abc: 8.329 8.329 8.329
angles: 60.00 60.00 60.00
Fractional positions:
Cd1 0.625 0.625 0.125
Cd2 0.125 0.625 0.625
Cd3 0.625 0.125 0.625
Cd4 0.625 0.625 0.625
H1 0.125 0.125 0.125
H2 0.625 0.125 0.125
H3 0.125 0.625 0.125
H4 0.125 0.125 0.625
Hf1 0.190 0.190 0.810
Hf2 0.440 0.060 0.440
Hf3 0.810 0.190 0.190
Hf4 0.060 0.060 0.440
Hf5 0.190 0.810 0.190
Hf6 0.810 0.190 0.810
Hf7 0.060 0.440 0.060
Hf8 0.440 0.440 0.060
Hf9 0.440 0.060 0.060
Hf10 0.190 0.810 0.810
Hf11 0.060 0.440 0.440
Hf12 0.810 0.810 0.190

9.
## Hf3CdH (PBE-GGA)

Data for a relaxed Hf3CdH crystal.

The value obtained for the calculated volume is 17.59 Å³/atom.

abc: 7.238 5.309 5.309
angles: 106.19 74.68 74.68
Fractional positions:
Cd1 0.241 0.802 0.706
Cd2 0.241 0.302 0.206
H1 0.741 0.303 0.706
H2 0.740 0.803 0.206
Hf1 0.741 0.553 0.456
Hf2 0.489 0.679 0.082
Hf3 0.741 0.053 0.956
Hf4 0.489 0.179 0.582
Hf5 0.993 0.426 0.830
Hf6 0.993 0.927 0.330

10.
## Hf3CdH (PBE-GGA)

Data for a relaxed Hf3CdH crystal.

The value obtained for the calculated volume is 18.62 Å³/atom.

abc: 3.259 3.259 20.242
angles: 90.00 90.00 120.00
Fractional positions:
Hf1 0.000 0.000 0.250
Hf2 0.667 0.333 0.374
Hf3 0.667 0.333 0.126
Hf4 0.000 0.000 0.750
Hf5 0.333 0.667 0.626
Hf6 0.333 0.667 0.874
Cd1 0.000 0.000 0.000
Cd2 0.000 0.000 0.500
H1 0.333 0.667 0.750
H2 0.667 0.333 0.250

11.
## HfCdH3 (PBE-GGA)

Data for a relaxed HfCdH3 crystal.

The value obtained for the calculated volume is 10.78 Å³/atom.

abc: 3.777 3.777 3.777
angles: 90.00 90.00 90.00
Fractional positions:
H1 0.500 0.000 0.000
H2 0.000 0.500 0.000
H3 0.000 0.000 0.500
Cd1 0.000 0.000 0.000
Hf1 0.500 0.500 0.500

12.
## Hf3CdH (PBE-GGA)

Data for a relaxed Hf3CdH crystal.

The value obtained for the calculated volume is 18.54 Å³/atom.

abc: 5.958 5.958 6.137
angles: 90.00 90.00 121.68
Fractional positions:
H1 0.878 0.122 0.750
H2 0.122 0.878 0.250
Hf1 0.490 0.009 0.750
Hf2 0.991 0.510 0.750
Hf3 0.000 0.000 0.000
Hf4 0.000 0.000 0.500
Hf5 0.510 0.991 0.250
Hf6 0.009 0.490 0.250
Cd1 0.490 0.510 0.750
Cd2 0.510 0.490 0.250

M_tot, record by record: 0.000, 0.000, 0.000, 0.000, 0.000, 0.000, 0.002, 0.000, 0.000, 0.000, 0.000, 0.000 μB/f.u.
Uncorrected energy, record by record: -8.77, -8.37, -65.96, -61.59, -69.82, -69.91, -24.52, -130.54, -69.37, -68.27, -17.54, -67.71 eV for the cell shown